(1)
First-principles (GGA-PBE) data for crystalline NaLa at its relaxed geometry, as listed in Alexandria.

Properties
* ΔH_f (0 K): 2.08 eV per formula unit
* volume: 199.1 Å³/cell

Lattice parameters (Å, degrees): 5.8434 5.8434 6.7319 90.00 90.00 120.00
Space group P6_3/mmc (No. 194)
Inequivalent atoms, fractional coordinates:
1 Na 0.3333 0.6667 0.2500 [2 per cell]
2 La 0.3333 0.6667 0.7500 [2 per cell]

(2)
First-principles (GGA-PBE) data for crystalline NaLa at its relaxed geometry, as listed in Alexandria.

Properties
* ΔH_f (0 K): 0.51 eV per formula unit
* volume: 558.9 Å³/cell

Lattice parameters (Å, degrees): 12.679 12.679 3.477 90.00 90.00 90.00
Space group I4/m (No. 87)
Inequivalent atoms, fractional coordinates:
1 Na 0.079 0.348 0.000 [8 per cell]
2 La 0.099 0.865 0.500 [8 per cell]